Record 1
Below is a relaxed structure of TaSn2C, with properties calculated at the PBE level.

```
TaSn2C
1.0
3.240 0.000 0.000
-1.620 2.806 0.000
0.000 0.000 15.102
Ta Sn C
2 4 2
direct
0.333 0.667 0.250 Ta
0.667 0.333 0.750 Ta
0.333 0.667 0.594 Sn
0.333 0.667 0.906 Sn
0.667 0.333 0.094 Sn
0.667 0.333 0.406 Sn
0.000 0.000 0.000 C
0.000 0.000 0.500 C
```

uncorrected energy = -6.45 eV/atom
space group = P6_3/mmc, No. 194
crystal system = hexagonal

=====

Record 2
Below is a relaxed structure of Ta2Sn3W4C3, with properties calculated at the PBE level.

```
Ta2Sn3W4C3
1.0
4.833 -2.791 0.000
4.833 2.791 0.000
-3.245 0.000 13.591
Ta Sn W C
4 6 8 6
direct
0.029 0.860 0.586 Ta
0.140 0.971 0.914 Ta
0.860 0.029 0.086 Ta
0.971 0.140 0.414 Ta
0.083 0.264 0.749 Sn
0.264 0.083 0.249 Sn
0.432 0.568 0.750 Sn
0.568 0.432 0.250 Sn
0.736 0.917 0.751 Sn
0.917 0.736 0.251 Sn
0.193 0.362 0.080 W
0.308 0.471 0.420 W
0.362 0.193 0.580 W
0.471 0.308 0.920 W
0.529 0.692 0.080 W
0.638 0.807 0.420 W
0.692 0.529 0.580 W
0.807 0.638 0.920 W
0.000 0.500 0.500 C
0.166 0.669 0.000 C
0.331 0.834 0.500 C
0.500 0.000 0.000 C
0.669 0.166 0.500 C
0.834 0.331 0.000 C
```

uncorrected energy = -9.53 eV/atom
space group = C2/c, No. 15
crystal system = monoclinic

=====

Record 3
Below is a relaxed structure of Ta4Sn3W2C3, with properties calculated at the PBE level.

```
Ta4Sn3W2C3
1.0
4.870 -2.807 0.000
4.870 2.807 0.000
-3.258 0.000 13.693
Ta Sn W C
8 6 4 6
direct
0.026 0.196 0.084 Ta
0.140 0.305 0.416 Ta
0.196 0.026 0.584 Ta
0.305 0.140 0.916 Ta
0.695 0.860 0.084 Ta
0.804 0.974 0.416 Ta
0.860 0.695 0.584 Ta
0.974 0.804 0.916 Ta
0.092 0.908 0.250 Sn
0.263 0.415 0.750 Sn
0.415 0.263 0.250 Sn
0.585 0.737 0.750 Sn
0.737 0.585 0.250 Sn
0.908 0.092 0.750 Sn
0.361 0.527 0.078 W
0.473 0.639 0.422 W
0.527 0.361 0.578 W
0.639 0.473 0.922 W
0.000 0.500 0.000 C
0.165 0.667 0.500 C
0.333 0.835 0.000 C
0.500 0.000 0.500 C
0.667 0.165 0.000 C
0.835 0.333 0.500 C
```

uncorrected energy = -9.56 eV/atom
space group = C2/c, No. 15
crystal system = monoclinic

=====

Record 4
Below is a relaxed structure of ZrTaSnC, with properties calculated at the PBE level.

```
ZrTaSnC
1.0
3.315 0.000 0.000
-1.657 2.871 0.000
0.000 0.000 14.277
Zr Ta Sn C
2 2 2 2
direct
0.333 0.667 0.090 Zr
0.667 0.333 0.910 Zr
0.333 0.667 0.421 Ta
0.667 0.333 0.579 Ta
0.333 0.667 0.740 Sn
0.667 0.333 0.260 Sn
0.000 0.000 0.000 C
0.000 0.000 0.500 C
```

uncorrected energy = -8.97 eV/atom
space group = P-3m1, No. 164
crystal system = trigonal

=====

Among the records above, which one has the highest uncorrected energy?
TaSn2C

=====

What is the uncorrected energy in the third record?
-9.56 eV/atom

=====

Number 3 is which compound?
Ta4Sn3W2C3